No. 1
DFT (PBE) results for a relaxed structure of Li3Y2Au2O.

```
8
Lattice="3.260 0.000 0.000 -1.630 2.823 0.000 0.000 0.000 17.870" Properties=species:S:1:pos:R:3 pbc="T T T"
Li 0.000 0.000 11.685
Au 0.000 0.000 14.300
Y 1.630 0.941 16.552
O 0.000 0.000 0.068
Au 0.000 1.882 3.676
Y 1.630 0.941 8.950
Li 0.000 1.882 6.187
Li 0.000 1.882 1.129
```

Computed properties:
total DFT energy (no corrections): -35.22 eV/cell

***

No. 2
DFT (PBE) results for a relaxed structure of LiY2Au4O.

```
8
Lattice="-3.176 2.247 -2.298 -1.015 -1.929 3.959 2.255 7.529 4.246" Properties=species:S:1:pos:R:3 pbc="T T T"
Au -2.280 1.440 0.117
Au -0.379 3.990 4.426
Au 0.345 6.408 5.789
O 1.128 3.765 2.123
Y -1.136 1.463 3.001
Au -1.556 3.859 1.481
Y -0.799 6.385 2.906
Li 0.000 0.000 0.000
```

Computed properties:
total DFT energy (no corrections): -38.07 eV/cell